(1)
A plane-wave DFT calculation with GGA-PBE was carried out for crystalline LiScBe2 at its relaxed geometry.

```
LiScBe2
1.0
1.4152 0.8170 8.6415
-1.4152 0.8170 8.6415
0.0000 -1.6341 8.6415
Li Sc Be
1 1 2
Direct
0.0000 0.0000 0.0000 Li
0.5000 0.5000 0.5000 Sc
0.2521 0.2521 0.2521 Be
0.7479 0.7479 0.7479 Be
```

Computed properties:
**DOS at the Fermi energy**: 0.60 states/eV per atom
**Size of the total moment**: 0.00 μB per formula unit
**Calculated formation energy**: 505.2 meV per atom
**Total energy**: -3.4192 eV/atom

---

(2)
A plane-wave DFT calculation with GGA-PBE was carried out for crystalline Li2ScBe at its relaxed geometry.

```
Li2ScBe
1.0
1.4276 0.8242 9.8466
-1.4276 0.8242 9.8466
0.0000 -1.6484 9.8466
Li Sc Be
2 1 1
Direct
0.2408 0.2408 0.2408 Li
0.7592 0.7592 0.7592 Li
0.0000 0.0000 0.0000 Sc
0.5000 0.5000 0.5000 Be
```

Computed properties:
**DOS at the Fermi energy**: 0.48 states/eV per atom
**Size of the total moment**: 0.00 μB per formula unit
**Calculated formation energy**: 412.1 meV per atom
**Total energy**: -3.0592 eV/atom

---

(3)
A plane-wave DFT calculation with GGA-PBE was carried out for crystalline Li3ScBe at its relaxed geometry.

```
Li3ScBe
1.0
5.0772 0.0000 0.0000
0.0000 5.0772 0.0000
0.0000 0.0000 5.0772
Li Sc Be
3 1 1
Direct
0.0000 0.0000 0.5000 Li
0.0000 0.5000 0.0000 Li
0.5000 0.0000 0.0000 Li
0.0000 0.0000 0.0000 Sc
0.5000 0.5000 0.5000 Be
```

Computed properties:
**DOS at the Fermi energy**: 2.19 states/eV per atom
**Size of the total moment**: 1.07 μB per formula unit
**Calculated formation energy**: 1435.9 meV per atom
**Total energy**: -1.7240 eV/atom

---

(4)
A plane-wave DFT calculation with GGA-PBE was carried out for crystalline LiScBe4 at its relaxed geometry.

```
LiScBe4
1.0
0.0000 3.2745 3.2745
3.2745 0.0000 3.2745
3.2745 3.2745 0.0000
Li Sc Be
1 1 4
Direct
0.0000 0.0000 0.0000 Li
0.2500 0.2500 0.2500 Sc
0.1253 0.6249 0.6249 Be
0.6249 0.1253 0.6249 Be
0.6249 0.6249 0.1253 Be
0.6249 0.6249 0.6249 Be
```

Computed properties:
**DOS at the Fermi energy**: 0.53 states/eV per atom
**Size of the total moment**: 0.00 μB per formula unit
**Calculated formation energy**: 32.6 meV per atom
**Total energy**: -3.8258 eV/atom

---

(5)
A plane-wave DFT calculation with GGA-PBE was carried out for crystalline Li2ScBe at its relaxed geometry.

```
Li2ScBe
1.0
3.8193 0.0000 0.0000
0.0000 3.8193 0.0000
0.0000 0.0000 4.7746
Li Sc Be
2 1 1
Direct
0.0000 0.5000 0.0000 Li
0.5000 0.0000 0.0000 Li
0.0000 0.0000 0.5000 Sc
0.5000 0.5000 0.5000 Be
```

Computed properties:
**DOS at the Fermi energy**: 0.85 states/eV per atom
**Size of the total moment**: 0.77 μB per formula unit
**Calculated formation energy**: 280.6 meV per atom
**Total energy**: -3.1907 eV/atom

---

(6)
A plane-wave DFT calculation with GGA-PBE was carried out for crystalline LiScBe2 at its relaxed geometry.

```
LiScBe2
1.0
2.7172 0.0000 0.0000
0.0000 2.9198 0.0000
0.0000 0.0000 7.2054
Li Sc Be
1 1 2
Direct
0.0000 0.0000 0.0000 Li
0.5000 0.5000 0.6385 Sc
0.0000 0.0000 0.3722 Be
0.5000 0.5000 0.2445 Be
```

Computed properties:
**DOS at the Fermi energy**: 0.53 states/eV per atom
**Size of the total moment**: 0.26 μB per formula unit
**Calculated formation energy**: 185.1 meV per atom
**Total energy**: -3.7393 eV/atom

---

(7)
A plane-wave DFT calculation with GGA-PBE was carried out for crystalline Li2ScBe at its relaxed geometry.

```
Li2ScBe
1.0
-2.0017 2.0017 4.0190
2.0017 -2.0017 4.0190
2.0017 2.0017 -4.0190
Li Sc Be
2 1 1
Direct
0.2500 0.7500 0.5000 Li
0.7500 0.2500 0.5000 Li
0.0000 0.0000 0.0000 Sc
0.5000 0.5000 0.0000 Be
```

Computed properties:
**DOS at the Fermi energy**: 0.60 states/eV per atom
**Size of the total moment**: 0.00 μB per formula unit
**Calculated formation energy**: 255.3 meV per atom
**Total energy**: -3.2161 eV/atom

---

(8)
A plane-wave DFT calculation with GGA-PBE was carried out for crystalline LiScBe at its relaxed geometry.

```
LiScBe
1.0
-1.5670 1.5670 5.1203
1.5670 -1.5670 5.1203
1.5670 1.5670 -5.1203
Li Sc Be
1 1 1
Direct
0.0000 0.0000 0.0000 Li
0.7223 0.7223 0.0000 Sc
0.3728 0.3728 0.0000 Be
```

Computed properties:
**DOS at the Fermi energy**: 0.76 states/eV per atom
**Size of the total moment**: 0.00 μB per formula unit
**Calculated formation energy**: 204.5 meV per atom
**Total energy**: -3.7860 eV/atom